Density functional theory data (PBE) for crystalline Be2InTcH at its relaxed geometry. Values from VASP.

Calculated values
The calculation puts the total energy at -3.478 eV per atom. Its total magnetization is 1.65 μB/f.u. As for the space group: P4/mmm. The density of states at the Fermi level comes out at 0.56 states/eV per atom.

Quantum ESPRESSO input file:
```
&SYSTEM
  ibrav = 0, nat = 5, ntyp = 4
/
ATOMIC_SPECIES
Be 9.01 Be.upf
H 1.01 H.upf
In 114.82 In.upf
Tc 98.00 Tc.upf
CELL_PARAMETERS angstrom
4.651 0.000 0.000
0.000 3.277 0.000
0.000 0.000 4.651
ATOMIC_POSITIONS crystal
Be 0.000 0.000 0.500
Be 0.500 0.000 0.000
H 0.000 0.500 0.000
In 0.000 0.000 0.000
Tc 0.500 0.500 0.500
```


Density functional theory data (PBE) for crystalline Ti2BeInH at its relaxed geometry. Values from VASP.

Calculated values
The calculation puts the total energy at -5.239 eV per atom. Its total magnetization is 0.00 μB/f.u. As for the space group: P4/mmm. The density of states at the Fermi level comes out at 0.67 states/eV per atom.

Quantum ESPRESSO input file:
```
&SYSTEM
  ibrav = 0, nat = 5, ntyp = 4
/
ATOMIC_SPECIES
H 1.01 H.upf
In 114.82 In.upf
Ti 47.87 Ti.upf
Be 9.01 Be.upf
CELL_PARAMETERS angstrom
3.998 0.000 0.000
0.000 3.998 0.000
0.000 0.000 4.114
ATOMIC_POSITIONS crystal
H 0.000 0.000 0.000
In 0.500 0.500 0.500
Ti 0.500 0.000 0.000
Ti 0.000 0.500 0.000
Be 0.000 0.000 0.500
```